# 1
DFT (PBE) results for GaSe2NCl after structural relaxation.

Values from the calculation:
- Spin magnetization: 0.0 μB/f.u.
- Symmetry: No. 123

Cell: 5.960 5.960 3.228 Å, 90.00 90.00 90.00°
Sites, in units of the cell vectors:
N (0.000, 0.000, 0.500)
Ga (0.500, 0.500, 0.500)
Se (0.000, 0.500, 0.000)
Se (0.500, 0.000, 0.000)
Cl (0.000, 0.000, 0.000)

---

# 2
DFT (PBE) results for GaSeN2Cl after structural relaxation.

Values from the calculation:
- Spin magnetization: 2.3 μB/f.u.
- Symmetry: No. 123

Cell: 4.067 4.067 5.081 Å, 90.00 90.00 90.00°
Site moments in Bohr magnetons follow the coordinates.
Sites, in units of the cell vectors:
N (0.000, 0.500, 0.000)  0.83
N (0.500, 0.000, 0.000)  0.83
Ga (0.500, 0.500, 0.500)  -0.06
Se (0.000, 0.000, 0.500)  0.03
Cl (0.000, 0.000, 0.000)  -0.01

---

# 3
DFT (PBE) results for GaSiNCl2 after structural relaxation.

Values from the calculation:
- Spin magnetization: 0.0 μB/f.u.
- Symmetry: No. 123

Cell: 5.776 3.348 5.776 Å, 90.00 90.00 90.00°
Sites, in units of the cell vectors:
Si (0.500, 0.500, 0.500)
N (0.000, 0.000, 0.000)
Ga (0.000, 0.500, 0.000)
Cl (0.000, 0.000, 0.500)
Cl (0.500, 0.000, 0.000)

---

# 4
DFT (PBE) results for GaTe2NCl after structural relaxation.

Values from the calculation:
- Spin magnetization: 0.0 μB/f.u.
- Symmetry: No. 123

Cell: 5.883 5.883 3.482 Å, 90.00 90.00 90.00°
Sites, in units of the cell vectors:
N (0.000, 0.000, 0.500)
Te (0.000, 0.500, 0.000)
Te (0.500, 0.000, 0.000)
Ga (0.000, 0.000, 0.000)
Cl (0.500, 0.500, 0.500)

---

# 5
DFT (PBE) results for GaTeN2Cl after structural relaxation.

Values from the calculation:
- Spin magnetization: 3.5 μB/f.u.
- Symmetry: No. 123

Cell: 4.000 4.000 6.165 Å, 90.00 90.00 90.00°
Site moments in Bohr magnetons follow the coordinates.
Sites, in units of the cell vectors:
N (0.000, 0.500, 0.000)  1.11
N (0.500, 0.000, 0.000)  1.11
Te (0.000, 0.000, 0.500)  0.15
Ga (0.000, 0.000, 0.000)  -0.05
Cl (0.500, 0.500, 0.500)  0.02

---

# 6
DFT (PBE) results for GaTeN2Cl after structural relaxation.

Values from the calculation:
- Spin magnetization: 2.4 μB/f.u.
- Symmetry: No. 123

Cell: 4.165 4.165 5.440 Å, 90.00 90.00 90.00°
Site moments in Bohr magnetons follow the coordinates.
Sites, in units of the cell vectors:
N (0.000, 0.500, 0.000)  0.86
N (0.500, 0.000, 0.000)  0.86
Te (0.000, 0.000, 0.500)  0.03
Ga (0.500, 0.500, 0.500)  -0.03
Cl (0.000, 0.000, 0.000)  -0.01

---

# 7
DFT (PBE) results for GaTe2NCl after structural relaxation.

Values from the calculation:
- Spin magnetization: 0.0 μB/f.u.
- Symmetry: No. 123

Cell: 6.409 6.409 3.274 Å, 90.00 90.00 90.00°
Sites, in units of the cell vectors:
N (0.000, 0.000, 0.500)
Te (0.000, 0.500, 0.000)
Te (0.500, 0.000, 0.000)
Ga (0.500, 0.500, 0.500)
Cl (0.000, 0.000, 0.000)

---

# 8
DFT (PBE) results for NaGaCl3 after structural relaxation.

Values from the calculation:
- Spin magnetization: 0.0 μB/f.u.
- Symmetry: No. 14

Cell: 7.307 6.370 12.879 Å, 90.00 99.86 90.00°
Sites, in units of the cell vectors:
Na (0.979, 0.546, 0.169)
Na (0.521, 0.046, 0.331)
Na (0.021, 0.454, 0.831)
Na (0.479, 0.954, 0.669)
Ga (0.430, 0.573, 0.071)
Ga (0.070, 0.073, 0.429)
Ga (0.570, 0.427, 0.929)
Ga (0.930, 0.927, 0.571)
Cl (0.136, 0.716, 0.674)
Cl (0.364, 0.216, 0.826)
Cl (0.864, 0.284, 0.326)
Cl (0.636, 0.784, 0.174)
Cl (0.829, 0.158, 0.683)
Cl (0.671, 0.658, 0.817)
Cl (0.171, 0.842, 0.317)
Cl (0.329, 0.342, 0.183)
Cl (0.662, 0.754, 0.512)
Cl (0.838, 0.254, 0.988)
Cl (0.338, 0.246, 0.488)
Cl (0.162, 0.746, 0.012)

---

# 9
DFT (PBE) results for Na2Ga2Cl7 after structural relaxation.

Values from the calculation:
- Spin magnetization: 0.0 μB/f.u.
- Symmetry: No. 12

Cell: 6.379 7.512 7.512 Å, 100.25 100.42 100.42°
Sites, in units of the cell vectors:
Na (0.000, 0.306, 0.694)
Na (0.000, 0.694, 0.306)
Ga (0.401, 0.222, 0.222)
Ga (0.599, 0.778, 0.778)
Cl (0.798, 0.922, 0.600)
Cl (0.202, 0.400, 0.078)
Cl (0.202, 0.078, 0.400)
Cl (0.798, 0.600, 0.922)
Cl (0.500, 0.000, 0.000)
Cl (0.278, 0.597, 0.597)
Cl (0.722, 0.403, 0.403)

---

# 10
DFT (PBE) results for Na3GaCl6 after structural relaxation.

Values from the calculation:
- Spin magnetization: 0.0 μB/f.u.
- Symmetry: No. 14

Cell: 6.708 7.109 9.866 Å, 90.00 89.88 90.00°
Sites, in units of the cell vectors:
Na (0.531, 0.918, 0.755)
Na (0.500, 0.500, 0.000)
Na (0.469, 0.082, 0.245)
Na (0.031, 0.582, 0.255)
Na (0.000, 0.000, 0.500)
Na (0.969, 0.418, 0.745)
Ga (0.500, 0.500, 0.500)
Ga (0.000, 0.000, 0.000)
Cl (0.712, 0.176, 0.938)
Cl (0.664, 0.215, 0.573)
Cl (0.633, 0.450, 0.275)
Cl (0.367, 0.550, 0.725)
Cl (0.336, 0.785, 0.427)
Cl (0.288, 0.824, 0.062)
Cl (0.212, 0.324, 0.438)
Cl (0.164, 0.285, 0.073)
Cl (0.133, 0.050, 0.775)
Cl (0.867, 0.950, 0.225)
Cl (0.836, 0.715, 0.927)
Cl (0.788, 0.676, 0.562)

---

# 11
DFT (PBE) results for Na2GaCl6 after structural relaxation.

Values from the calculation:
- Spin magnetization: 1.1 μB/f.u.
- Symmetry: No. 14

Cell: 6.862 7.327 9.212 Å, 90.00 93.83 90.00°
Site moments in Bohr magnetons follow the coordinates.
Sites, in units of the cell vectors:
Na (0.967, 0.394, 0.778)  0.00
Na (0.533, 0.894, 0.722)  0.00
Na (0.467, 0.106, 0.278)  0.00
Na (0.033, 0.606, 0.222)  0.00
Ga (0.500, 0.500, 0.000)  -0.01
Ga (0.000, 0.000, 0.500)  -0.01
Cl (0.846, 0.949, 0.269)  0.14
Cl (0.846, 0.724, 0.576)  0.19
Cl (0.779, 0.675, 0.933)  0.10
Cl (0.721, 0.175, 0.567)  0.10
Cl (0.654, 0.224, 0.924)  0.19
Cl (0.654, 0.449, 0.231)  0.14
Cl (0.154, 0.051, 0.731)  0.14
Cl (0.154, 0.276, 0.424)  0.19
Cl (0.221, 0.325, 0.067)  0.10
Cl (0.279, 0.825, 0.433)  0.10
Cl (0.346, 0.776, 0.076)  0.19
Cl (0.346, 0.551, 0.769)  0.14

---

# 12
DFT (PBE) results for NaGaCl2 after structural relaxation.

Values from the calculation:
- Spin magnetization: 0.0 μB/f.u.
- Symmetry: No. 225

Cell: 5.095 5.095 5.095 Å, 60.00 60.00 60.00°
Sites, in units of the cell vectors:
Na (0.000, 0.000, 0.000)
Ga (0.500, 0.500, 0.500)
Cl (0.250, 0.250, 0.250)
Cl (0.750, 0.750, 0.750)

---

The evaluated formation energy (no corrections) for the records listed, in turn: 6.427; 10.129; 3.690; 3.387; 6.093; 10.121; 5.660; -6.866; -13.812; -14.909; -10.517; -4.475 eV/f.u..
The evaluated D(E_F) for the records listed, in turn: 2.18; 3.11; 2.75; 6.68; 2.05; 1.95; 1.79; 0.00; 4.22; 0.00; 12.16; 0.00 states/eV per cell.